No. 1
Material: Na2Be2CrSe4
Method: DFT, PBE
State: optimized geometry

```
Na2Be2CrSe4
1.0
3.685 0.000 0.000
0.000 7.151 0.017
-1.842 -2.867 7.009
Na Be Cr Se
2 2 1 4
direct
0.121 0.530 0.242 Na
0.879 0.470 0.758 Na
0.678 0.986 0.356 Be
0.322 0.014 0.644 Be
0.000 0.000 0.000 Cr
0.221 0.190 0.441 Se
0.779 0.810 0.559 Se
0.526 0.777 0.051 Se
0.474 0.223 0.949 Se
```

Values from the calculation:
**Raw formation energy**: -0.7610 eV per atom
**Volume**: 20.540 A^3/atom
**Total magnetic moment**: 0.44 μB per atom

No. 2
Material: NaBeCrTe3
Method: DFT, PBE
State: optimized geometry

```
NaBeCrTe3
1.0
-3.210 1.111 -1.870
-5.053 -3.570 6.552
2.097 8.899 1.686
Na Be Cr Te
2 2 2 6
direct
0.250 0.163 0.221 Na
0.750 0.837 0.779 Na
0.250 0.074 0.583 Be
0.750 0.926 0.417 Be
0.250 0.617 0.116 Cr
0.750 0.383 0.884 Cr
0.750 0.845 0.138 Te
0.250 0.155 0.862 Te
0.250 0.776 0.458 Te
0.750 0.224 0.542 Te
0.750 0.447 0.176 Te
0.250 0.553 0.824 Te
```

Values from the calculation:
**Raw formation energy**: -0.2946 eV per atom
**Volume**: 25.110 A^3/atom
**Total magnetic moment**: 0.17 μB per atom